This record from the Alexandria database describes a relaxed CsHg3Pd crystal. The functional is GGA-PBE.

The structure in POSCAR format:
```
CsHg3Pd
1.0
3.865 2.232 6.145
-3.865 2.232 6.145
0.000 -4.463 6.145
Cs Hg Pd
2 6 2
direct
0.101 0.101 0.101 Cs
0.899 0.899 0.899 Cs
0.141 0.560 0.560 Hg
0.440 0.440 0.859 Hg
0.440 0.859 0.440 Hg
0.560 0.141 0.560 Hg
0.560 0.560 0.141 Hg
0.859 0.440 0.440 Hg
0.301 0.301 0.301 Pd
0.699 0.699 0.699 Pd
```

The crystal system is trigonal. The formation energy comes out at -0.1630 eV per atom. The energy above the most stable polymorph in this dataset comes out at 113 meV/atom.